No. 1
# KBe2Cr (PBE, relaxed)
# Size of the total moment ... 0.266 μB/atom
# Energy relative to the elements ... 3.314 eV per formula unit
# Density ... 2604 kg/m³
# Relative energy among the computed polymorphs ... 0.908 eV per formula unit
data_KBe2Cr
_space_group_name_H-M_alt 'C 1 2/m 1'
_space_group_IT_number 12
_cell_length_a 8.246
_cell_length_b 2.496
_cell_length_c 6.782
_cell_angle_alpha 90.00
_cell_angle_beta 94.34
_cell_angle_gamma 90.00
loop_
_space_group_symop_operation_xyz
'x,y,z'
'-x,-y,-z'
'-x,y,-z'
'x,-y,z'
'x+1/2,y+1/2,z'
'-x+1/2,-y+1/2,-z'
'-x+1/2,y+1/2,-z'
'x+1/2,-y+1/2,z'
loop_
_atom_site_label
_atom_site_fract_x
_atom_site_fract_y
_atom_site_fract_z
K1 0.000 0.000 0.000
Be1 0.236 0.000 0.626
Cr1 0.000 0.500 0.500

No. 2
# MoPdRh (PBE, relaxed)
# Size of the total moment ... 0.000 μB/atom
# Energy relative to the elements ... -0.326 eV per formula unit
# Density ... 11265 kg/m³
# Relative energy among the computed polymorphs ... 0.013 eV per formula unit
data_MoPdRh
_space_group_name_H-M_alt 'C m c m'
_space_group_IT_number 63
_space_group_name_Hall '-C 2c 2'
_cell_length_a 3.923
_cell_length_b 11.786
_cell_length_c 3.893
_cell_angle_alpha 90.00
_cell_angle_beta 90.00
_cell_angle_gamma 90.00
loop_
_atom_site_label
_atom_site_fract_x
_atom_site_fract_y
_atom_site_fract_z
Mo1 0.000 0.079 0.250
Pd1 0.000 0.252 0.750
Rh1 0.000 0.422 0.250

No. 3
# BeBiRh2 (PBE, relaxed)
# Size of the total moment ... 0.000 μB/atom
# Energy relative to the elements ... -0.021 eV per formula unit
# Density ... 11265 kg/m³
# Relative energy among the computed polymorphs ... 0.000 eV per formula unit
data_BeBiRh2
_space_group_name_H-M_alt 'F m -3 m'
_space_group_IT_number 225
_space_group_name_Hall '-F 4 2 3'
_cell_length_a 6.299
_cell_length_b 6.299
_cell_length_c 6.299
_cell_angle_alpha 90.00
_cell_angle_beta 90.00
_cell_angle_gamma 90.00
loop_
_atom_site_label
_atom_site_fract_x
_atom_site_fract_y
_atom_site_fract_z
Be1 0.000 0.000 0.000
Bi1 0.000 0.000 0.500
Rh1 0.250 0.250 0.250

No. 4
# TcSbOs2 (PBE, relaxed)
# Size of the total moment ... 0.000 μB/atom
# Density ... 15447 kg/m³
# Raw formation energy ... 0.439 eV per atom
data_TcSbOs2
_space_group_name_H-M_alt 'P 1 m 1'
_space_group_IT_number 6
_cell_length_a 2.855
_cell_length_b 4.080
_cell_length_c 5.717
_cell_angle_alpha 90.00
_cell_angle_beta 104.38
_cell_angle_gamma 90.00
loop_
_space_group_symop_operation_xyz
'x,y,z'
'x,-y,z'
loop_
_atom_site_label
_atom_site_fract_x
_atom_site_fract_y
_atom_site_fract_z
Tc1 0.000 0.000 0.000
Sb1 0.389 0.500 0.776
Os1 0.232 0.000 0.466
Os2 0.629 0.500 0.259

No. 5
# CsAg2RhCl8 (PBE, relaxed)
# Size of the total moment ... 0.000 μB/atom
# Density ... 3294 kg/m³
# Raw formation energy ... -0.666 eV per atom
data_CsAg2RhCl8
_space_group_name_H-M_alt 'P -1'
_space_group_IT_number 2
_cell_length_a 5.920
_cell_length_b 6.016
_cell_length_c 10.754
_cell_angle_alpha 76.29
_cell_angle_beta 86.90
_cell_angle_gamma 85.23
loop_
_space_group_symop_operation_xyz
'x,y,z'
'-x,-y,-z'
loop_
_atom_site_label
_atom_site_fract_x
_atom_site_fract_y
_atom_site_fract_z
Cs1 0.000 0.000 0.000
Ag1 0.440 0.494 0.323
Rh1 0.000 0.000 0.500
Cl1 0.173 0.734 0.673
Cl2 0.206 0.872 0.332
Cl3 0.275 0.253 0.516
Cl4 0.468 0.316 0.892

No. 6
# NaCuO2 (PBE, relaxed)
# Size of the total moment ... 0.000 μB/atom
# Density ... 5043 kg/m³
# Raw formation energy ... -0.253 eV per atom
data_NaCuO2
_space_group_name_H-M_alt 'F m -3 m'
_space_group_IT_number 225
_space_group_name_Hall '-F 4 2 3'
_cell_length_a 5.385
_cell_length_b 5.385
_cell_length_c 5.385
_cell_angle_alpha 90.00
_cell_angle_beta 90.00
_cell_angle_gamma 90.00
loop_
_atom_site_label
_atom_site_fract_x
_atom_site_fract_y
_atom_site_fract_z
Na1 0.000 0.000 0.000
Cu1 0.000 0.000 0.500
O1 0.250 0.250 0.250

Number 6 is which compound?
NaCuO2

Which value of size of the total moment does entry 5 give?
0.000 μB/atom